! RbBSe2Br | Alexandria | GGA-PBE | optimized geometry; values from VASP
&SYSTEM
  ibrav = 0, nat = 5, ntyp = 4
/
ATOMIC_SPECIES
Rb 85.47 Rb.upf
B 10.81 B.upf
Se 78.96 Se.upf
Br 79.90 Br.upf
CELL_PARAMETERS angstrom
4.449 0.000 0.000
0.000 4.449 0.000
0.000 0.000 7.373
ATOMIC_POSITIONS crystal
Rb 0.000 0.000 0.000
B 0.500 0.500 0.500
Se 0.000 0.500 0.500
Se 0.500 0.000 0.500
Br 0.500 0.500 0.000
! Polymorph energy (0 for the lowest one) ... 0.0 meV/atom
! SG ... P4/mmm (123)
! Energy relative to the elements, uncorrected ... -0.005 eV/atom
! DFT total energy ... -3.26 eV/atom
! Crystal system ... tetragonal